La5Tb3Sm3 | PBE-GGA | relaxed

Summary:
Formation energy from the elements   0.285 eV/atom
Total magnetization   0.00 μB per formula unit
Calculated total energy   -4.504 eV/atom

Cell: 3.491 11.479 11.479 Å, 120.00 90.00 90.00°
Sites, in units of the cell vectors:
La 0.500 0.667 0.333
La 0.500 0.333 0.667
La 0.500 0.338 0.000
La 0.500 0.662 0.662
La 0.500 0.000 0.338
Tb 0.500 0.841 0.000
Tb 0.500 0.159 0.159
Tb 0.500 0.000 0.841
Sm 0.000 0.598 0.000
Sm 0.000 0.000 0.598
Sm 0.000 0.402 0.402



InGaSbW2 | PBE-GGA | relaxed

Summary:
Total magnetization   0.00 μB per formula unit
Calculated total energy   -5.485 eV/atom

Cell: 4.764 5.092 4.764 Å, 90.00 90.00 90.00°
Sites, in units of the cell vectors:
Sb 0.000 0.500 0.000
Ga 0.000 0.000 0.000
W 0.000 0.000 0.500
W 0.500 0.000 0.000
In 0.500 0.500 0.500



Ga5Sn3Hg12 | PBE-GGA | relaxed

Summary:
Formation energy from the elements   0.156 eV/atom
Total magnetization   0.00 μB per formula unit
Calculated total energy   -1.382 eV/atom

Cell: 14.430 14.430 14.430 Å, 109.47 109.47 109.47°
Sites, in units of the cell vectors:
Sn 0.750 0.375 0.125
Sn 0.875 0.750 0.125
Sn 0.375 0.750 0.625
Sn 0.250 0.125 0.375
Sn 0.875 0.125 0.250
Sn 0.375 0.625 0.250
Sn 0.625 0.375 0.750
Sn 0.125 0.875 0.750
Sn 0.750 0.875 0.625
Sn 0.625 0.250 0.375
Sn 0.125 0.250 0.875
Sn 0.250 0.625 0.875
Ga 0.125 0.375 0.250
Ga 0.000 0.500 0.000
Ga 0.000 0.000 0.000
Ga 0.375 0.250 0.125
Ga 0.500 0.000 0.500
Ga 0.500 0.500 0.000
Ga 0.125 0.750 0.375
Ga 0.750 0.125 0.875
Ga 0.750 0.625 0.375
Ga 0.375 0.125 0.750
Ga 0.625 0.875 0.250
Ga 0.500 0.500 0.500
Ga 0.500 0.000 0.000
Ga 0.000 0.000 0.500
Ga 0.250 0.375 0.625
Ga 0.250 0.875 0.125
Ga 0.000 0.500 0.500
Ga 0.875 0.250 0.625
Ga 0.625 0.750 0.875
Ga 0.875 0.625 0.750
Hg 0.725 0.128 0.051
Hg 0.326 0.551 0.423
Hg 0.949 0.372 0.275
Hg 0.551 0.225 0.128
Hg 0.597 0.725 0.674
Hg 0.949 0.577 0.174
Hg 0.326 0.775 0.403
Hg 0.077 0.903 0.128
Hg 0.577 0.949 0.674
Hg 0.725 0.597 0.174
Hg 0.775 0.449 0.372
Hg 0.826 0.923 0.051
Hg 0.128 0.725 0.551
Hg 0.372 0.423 0.097
Hg 0.097 0.923 0.372
Hg 0.403 0.128 0.577
Hg 0.097 0.174 0.225
Hg 0.449 0.674 0.077
Hg 0.826 0.903 0.275
Hg 0.128 0.403 0.077
Hg 0.372 0.949 0.775
Hg 0.577 0.628 0.403
Hg 0.923 0.826 0.551
Hg 0.775 0.326 0.903
Hg 0.423 0.372 0.597
Hg 0.077 0.174 0.449
Hg 0.225 0.674 0.097
Hg 0.174 0.097 0.725
Hg 0.628 0.051 0.225
Hg 0.872 0.597 0.923
Hg 0.551 0.326 0.923
Hg 0.597 0.872 0.423
Hg 0.903 0.826 0.775
Hg 0.903 0.077 0.628
Hg 0.872 0.275 0.449
Hg 0.174 0.077 0.949
Hg 0.628 0.577 0.903
Hg 0.423 0.051 0.326
Hg 0.275 0.403 0.826
Hg 0.225 0.551 0.628
Hg 0.923 0.097 0.872
Hg 0.674 0.225 0.597
Hg 0.449 0.775 0.872
Hg 0.051 0.423 0.826
Hg 0.403 0.275 0.326
Hg 0.051 0.628 0.725
Hg 0.674 0.449 0.577
Hg 0.275 0.872 0.949



ReBrO4 | PBE-GGA | relaxed

Summary:
Total magnetization   0.00 μB per formula unit
Calculated total energy   -6.716 eV/atom

Cell: 7.488 9.832 8.635 Å, 90.00 115.79 90.00°
Sites, in units of the cell vectors:
Re 0.716 0.288 0.948
Re 0.284 0.788 0.552
Re 0.716 0.212 0.448
Re 0.284 0.712 0.052
Br 0.210 0.244 0.194
Br 0.790 0.756 0.806
Br 0.210 0.256 0.694
Br 0.790 0.744 0.306
O 0.290 0.891 0.393
O 0.710 0.109 0.607
O 0.507 0.811 0.147
O 0.269 0.607 0.206
O 0.710 0.391 0.107
O 0.070 0.821 0.963
O 0.290 0.609 0.893
O 0.930 0.321 0.537
O 0.930 0.179 0.037
O 0.731 0.107 0.294
O 0.070 0.679 0.463
O 0.731 0.393 0.794
O 0.493 0.189 0.853
O 0.269 0.893 0.706
O 0.507 0.689 0.647
O 0.493 0.311 0.353